Record 1
! NiBSbRh2 meta-GGA SCAN single point on PBEsol structure; values from VASP
! Calculated volume (Å³/atom): 18.95
! Space group: P4/mmm
! Formation energy without anion corrections (eV per formula unit): 8.540
! N(E_F) (states/eV/cell): 5.20
! DFT total energy (eV per cell): -119.866
! M_tot (μB/cell): 2.5
! ρ (g/cm³): 7.0
&SYSTEM
  ibrav = 0, nat = 5, ntyp = 4
/
ATOMIC_SPECIES
Rh 102.91 Rh.upf
Ni 58.69 Ni.upf
B 10.81 B.upf
Sb 121.76 Sb.upf
CELL_PARAMETERS angstrom
4.130 0.000 0.000
0.000 4.790 0.000
0.000 0.000 4.790
ATOMIC_POSITIONS angstrom
Rh 0.000 0.000 2.395
Ni 2.065 2.395 2.395
B 2.065 0.000 0.000
Sb 0.000 0.000 0.000
Rh 0.000 2.395 0.000

Record 2
! NiB2Ru2 meta-GGA SCAN single point on PBEsol structure; values from VASP
! Calculated volume (Å³/atom): 9.54
! Space group: P4/mbm
! ΔH_f (0 K) (eV/atom): -0.2257
! N(E_F) (states/eV/cell): 6.29
! DFT total energy (eV per cell): -203.626
! M_tot (μB/cell): 0.0
! ρ (g/cm³): 9.8
&SYSTEM
  ibrav = 0, nat = 10, ntyp = 3
/
ATOMIC_SPECIES
B 10.81 B.upf
Ni 58.69 Ni.upf
Ru 101.07 Ru.upf
CELL_PARAMETERS angstrom
-2.661 -0.256 2.021
3.199 -1.386 4.037
0.528 5.135 1.344
ATOMIC_POSITIONS angstrom
B 3.136 1.981 4.379
B 2.057 -0.234 2.678
Ni 0.000 0.000 0.000
Ru 1.481 0.398 4.778
B 1.671 3.983 2.703
Ni 1.864 1.875 2.691
Ru -0.198 0.320 2.558
B 0.591 1.768 1.002
Ru 1.265 3.173 4.845
Ru -0.414 3.096 2.624

Record 3
! NiBS2 meta-GGA SCAN single point on PBEsol structure; values from VASP
! Calculated volume (Å³/atom): 15.09
! Space group: R-3m
! Formation energy without anion corrections (eV per formula unit): -0.275
! N(E_F) (states/eV/cell): 1.59
! DFT total energy (eV per cell): -43.134
! M_tot (μB/cell): 1.0
! ρ (g/cm³): 3.7
&SYSTEM
  ibrav = 0, nat = 4, ntyp = 3
/
ATOMIC_SPECIES
B 10.81 B.upf
S 32.06 S.upf
Ni 58.69 Ni.upf
CELL_PARAMETERS angstrom
3.486 0.000 0.000
1.743 3.019 0.000
1.743 1.006 5.735
ATOMIC_POSITIONS angstrom
B 0.000 0.000 0.000
S 1.743 1.006 4.040
Ni 3.486 2.013 2.868
S 5.229 3.019 1.696

Record 4
! Ni2BS meta-GGA SCAN single point on PBEsol structure; values from VASP
! Calculated volume (Å³/atom): 9.88
! Space group: Fm-3m
! Formation energy without anion corrections (eV per formula unit): 2.017
! N(E_F) (states/eV/cell): 2.43
! DFT total energy (eV per cell): -47.387
! M_tot (μB/cell): 0.0
! ρ (g/cm³): 6.7
&SYSTEM
  ibrav = 0, nat = 4, ntyp = 3
/
ATOMIC_SPECIES
Ni 58.69 Ni.upf
S 32.06 S.upf
B 10.81 B.upf
CELL_PARAMETERS angstrom
3.823 0.000 0.000
1.912 3.311 0.000
1.912 1.104 3.122
ATOMIC_POSITIONS angstrom
Ni 5.735 3.311 2.341
S 3.823 2.207 1.561
Ni 1.912 1.104 0.780
B 0.000 0.000 0.000

Record 5
! NiBSb2 meta-GGA SCAN single point on PBEsol structure; values from VASP
! Calculated volume (Å³/atom): 19.84
! Space group: I-42d
! Formation energy without anion corrections (eV per formula unit): 1.409
! N(E_F) (states/eV/cell): 4.32
! DFT total energy (eV per cell): -193.431
! M_tot (μB/cell): 0.0
! ρ (g/cm³): 6.5
&SYSTEM
  ibrav = 0, nat = 8, ntyp = 3
/
ATOMIC_SPECIES
Sb 121.76 Sb.upf
B 10.81 B.upf
Ni 58.69 Ni.upf
CELL_PARAMETERS angstrom
5.598 0.000 0.000
-2.799 5.786 0.003
0.000 2.706 4.901
ATOMIC_POSITIONS angstrom
Sb 1.400 1.857 0.743
B 2.799 1.353 2.451
Ni 0.000 0.000 0.000
Sb 1.251 5.354 1.840
Sb 4.199 3.066 2.934
B 0.000 3.570 1.227
Ni 2.799 4.922 3.677
Sb -1.251 6.707 4.291

Record 6
! Ni2BSb meta-GGA SCAN single point on PBEsol structure; values from VASP
! Calculated volume (Å³/atom): 12.07
! Space group: Fm-3m
! Formation energy without anion corrections (eV per formula unit): 2.523
! N(E_F) (states/eV/cell): 1.64
! DFT total energy (eV per cell): -74.514
! M_tot (μB/cell): 0.0
! ρ (g/cm³): 8.6
&SYSTEM
  ibrav = 0, nat = 4, ntyp = 3
/
ATOMIC_SPECIES
Ni 58.69 Ni.upf
Sb 121.76 Sb.upf
B 10.81 B.upf
CELL_PARAMETERS angstrom
4.088 0.000 0.000
2.044 3.540 0.000
2.044 1.180 3.338
ATOMIC_POSITIONS angstrom
Ni 2.044 1.180 0.834
Ni 6.131 3.540 2.503
Sb 4.088 2.360 1.669
B 0.000 0.000 0.000

Record 7
! NiBSb2Te meta-GGA SCAN single point on PBEsol structure; values from VASP
! Calculated volume (Å³/atom): 20.30
! Space group: P4/mmm
! Formation energy without anion corrections (eV per formula unit): 5.638
! N(E_F) (states/eV/cell): 3.40
! DFT total energy (eV per cell): -129.737
! M_tot (μB/cell): 0.0
! ρ (g/cm³): 7.2
&SYSTEM
  ibrav = 0, nat = 5, ntyp = 4
/
ATOMIC_SPECIES
Sb 121.76 Sb.upf
B 10.81 B.upf
Te 127.60 Te.upf
Ni 58.69 Ni.upf
CELL_PARAMETERS angstrom
4.648 0.000 0.000
0.000 4.648 0.000
0.000 0.000 4.700
ATOMIC_POSITIONS angstrom
Sb 2.324 0.000 0.000
Sb 0.000 2.324 0.000
B 0.000 0.000 0.000
Te 0.000 0.000 2.350
Ni 2.324 2.324 2.350

Record 8
! Sc3Ni20B6 meta-GGA SCAN single point on PBEsol structure; values from VASP
! Calculated volume (Å³/atom): 9.99
! Space group: Fm-3m
! ΔH_f (0 K) (eV/atom): -0.4389
! N(E_F) (states/eV/cell): 12.36
! DFT total energy (eV per cell): -423.482
! M_tot (μB/cell): 0.0
! ρ (g/cm³): 7.9
&SYSTEM
  ibrav = 0, nat = 29, ntyp = 3
/
ATOMIC_SPECIES
Ni 58.69 Ni.upf
Sc 44.96 Sc.upf
B 10.81 B.upf
CELL_PARAMETERS angstrom
-2.663 1.949 6.654
-7.336 0.419 1.087
-3.418 -5.039 4.254
ATOMIC_POSITIONS angstrom
Ni -8.529 -0.839 5.123
Ni -3.159 -2.641 5.078
Sc 0.000 0.000 0.000
Ni -6.679 0.663 5.424
Ni -2.245 -3.310 2.794
Ni -2.922 -0.449 5.830
Ni -4.266 1.424 4.744
Ni -5.991 -1.454 2.174
Ni -6.737 -3.334 6.572
Ni -4.762 -3.166 3.167
B -6.417 -2.150 8.279
Ni -6.392 -0.139 7.669
B -7.000 -0.520 3.717
B -8.236 0.385 6.808
B -5.180 -3.056 5.188
Sc -3.354 -0.668 2.999
Ni -5.174 -1.030 4.626
Ni -7.024 -2.532 4.326
B -8.587 -2.861 5.693
Ni -8.242 -1.641 7.369
Ni -5.732 0.944 2.998
Ni -0.914 0.669 2.284
Ni -1.173 -1.729 1.460
Sc -10.062 -2.003 8.996
Ni -4.818 0.275 0.714
Ni -1.749 1.280 4.370
B -4.829 0.190 6.303
Ni -4.887 -1.832 6.872
Ni -2.517 0.144 0.373

Question: The lowest DFT total energy belongs to which entry?
Answer: Sc3Ni20B6

Question: ρ of number 3 (NiBS2)?
Answer: 3.7 g/cm³

Question: Look up the ρ of the fifth one.
Answer: 6.5 g/cm³

Question: calculated volume of number 8 (Sc3Ni20B6)?
Answer: 9.99 Å³/atom